# 1
Entry from Alexandria via LeMat-Bulk: crystalline Li2HgB at its relaxed geometry (PBE).

Values from the calculation:
ΔE to the lowest computed polymorph: 0.0795 eV per atom
ΔH_f (0 K): 0.41 eV/atom
final energy: -2.29 eV per atom
crystal system: cubic
N(E_F): 0.358 states/eV/atom
V: 54.4 Å³/f.u.

abc: 6.0134 6.0134 6.0134
angles: 90.00 90.00 90.00
With the nearest neighbours (Å) after each atom.
Space group Fm-3m (No. 225)
Asymmetric unit:
1 Li 0.2500 0.2500 0.2500 x8  4 Hg 2.60, 4 B 2.60
2 Hg 0.0000 0.0000 0.0000 x4  8 Li 2.60
3 B 0.0000 0.0000 0.5000 x4  8 Li 2.60

***

# 2
Entry from Alexandria via LeMat-Bulk: crystalline CrCdAs2 at its relaxed geometry (PBE).

Values from the calculation:
ΔH_f (0 K): 0.28 eV/atom
final energy: -4.68 eV per atom
crystal system: tetragonal
N(E_F): 0.616 states/eV/atom
V: 75.4 Å³/f.u.

abc: 3.9638 3.9638 9.5977
angles: 90.00 90.00 90.00
With the nearest neighbours (Å) after each atom.
Space group I-4m2 (No. 119)
Asymmetric unit:
1 Cr 0.0000 0.0000 0.0000 x2  8 As 2.80-3.11, 4 Cd 3.11
2 Cd 0.0000 0.5000 0.2500 x2  8 As 2.80-3.11, 4 Cr 3.11
3 As 0.0000 0.0000 0.5000 x2  4 Cr 2.80, 4 As 3.11, 4 Cd 3.11
4 As 0.0000 0.5000 0.7500 x2  4 Cd 2.80, 4 Cr 3.11, 4 As 3.11

***

# 3
Entry from Alexandria via LeMat-Bulk: crystalline Y3Ga2Hg2 at its relaxed geometry (PBE).

Values from the calculation:
ΔH_f (0 K): -0.55 eV/atom
final energy: -4.27 eV per atom
crystal system: orthorhombic
N(E_F): 0.869 states/eV/atom
V: 167.3 Å³/f.u.

abc: 4.1403 22.0711 3.6606
angles: 90.00 90.00 90.00
With the nearest neighbours (Å) after each atom.
Space group Cmmm (No. 65)
Asymmetric unit:
1 Y 0.0000 0.0000 0.0000 x2  8 Hg 3.28, 4 Y 3.66
2 Y 0.0000 0.1659 0.0000 x4  6 Ga 2.99-3.16
3 Ga 0.0000 0.2825 0.5000 x4  2 Ga 2.52
4 Hg 0.0000 0.4203 0.5000 x4  1 Ga 3.04, 8 Y 3.28-3.35

***

# 4
Entry from Alexandria via LeMat-Bulk: crystalline KBa3La at its relaxed geometry (PBE).

Values from the calculation:
ΔE to the lowest computed polymorph: 0.0000 eV per atom
ΔH_f (0 K): 0.44 eV/atom
final energy: -1.92 eV per atom
crystal system: cubic
N(E_F): 1.783 states/eV/atom
V: 320.0 Å³/f.u.

abc: 6.8397 6.8397 6.8397
angles: 90.00 90.00 90.00
With the nearest neighbours (Å) after each atom.
Space group Pm-3m (No. 221)
Asymmetric unit:
1 K 0.0000 0.0000 0.0000 x1  12 Ba 4.84
2 Ba 0.0000 0.5000 0.5000 x3  2 La 3.42
3 La 0.5000 0.5000 0.5000 x1  6 Ba 3.42

***

# 5
Entry from Alexandria via LeMat-Bulk: crystalline Sc2InTe at its relaxed geometry (PBE).

Values from the calculation:
ΔE to the lowest computed polymorph: 0.0878 eV per atom
final energy: -5.23 eV per atom
crystal system: monoclinic
N(E_F): 0.690 states/eV/atom
V: 96.9 Å³/f.u.
formation energy (no corrections): -0.599 eV/atom

abc: 11.1134 3.7388 4.6656
angles: 90.00 91.35 90.00
With the nearest neighbours (Å) after each atom.
Space group Cm (No. 8)
Asymmetric unit:
1 Sc 0.0000 0.0000 0.0000 x2  1 In 2.87, 4 Te 3.00
2 Sc 0.2474 0.5000 0.5046 x2  3 Te 2.98-3.19, 4 In 2.99-3.00
3 In 0.2584 0.0000 0.0039 x2  5 Sc 2.87-3.00
4 Te 0.4797 0.0000 0.4992 x2  7 Sc 2.98-3.19

***

# 6
Entry from Alexandria via LeMat-Bulk: crystalline Sm8CdPd2 at its relaxed geometry (PBE).

Values from the calculation:
ΔE to the lowest computed polymorph: 0.0819 eV per atom
ΔH_f (0 K): -0.25 eV/atom
final energy: -4.71 eV per atom
crystal system: monoclinic
N(E_F): 1.279 states/eV/atom
V: 329.4 Å³/f.u.

abc: 8.7630 13.8655 5.6357
angles: 90.00 105.84 90.00
With the nearest neighbours (Å) after each atom.
Space group Cm (No. 8)
Asymmetric unit:
1 Sm 0.0000 0.0000 0.0000 x2  4 Sm 3.22-3.51, 2 Pd 3.26, 1 Cd 3.31
2 Sm 0.0992 0.3771 0.7700 x4  2 Pd 2.92-3.03
3 Sm 0.1867 0.1229 0.6128 x4  2 Pd 2.92-3.02
4 Sm 0.2858 0.5000 0.3826 x2  4 Sm 3.22-3.51, 2 Pd 3.25, 1 Cd 3.32
5 Sm 0.3934 0.2425 0.1912 x4  2 Pd 2.93-2.94
6 Cd 0.3927 0.0000 0.1916 x2  8 Sm 3.31-3.69
7 Pd 0.3927 0.3015 0.6907 x4  8 Sm 2.92-3.26

***

# 7
Entry from Alexandria via LeMat-Bulk: crystalline BaGe4Pt6 at its relaxed geometry (PBE).

Values from the calculation:
ΔH_f (0 K): -0.51 eV/atom
final energy: -5.66 eV per atom
crystal system: tetragonal
N(E_F): 0.381 states/eV/atom
V: 216.4 Å³/f.u.

abc: 6.9423 6.9423 8.9789
angles: 90.00 90.00 90.00
With the nearest neighbours (Å) after each atom.
Space group I-42m (No. 121)
Asymmetric unit:
1 Ba 0.0000 0.0000 0.0000 x2  8 Ge 3.31-3.58, 8 Pt 3.47-3.55
2 Ge 0.1987 0.1987 0.3348 x8  4 Pt 2.41-2.59
3 Pt 0.0000 0.5000 0.0000 x4  4 Pt 2.83, 4 Ge 2.91
4 Pt 0.1553 0.1553 0.6192 x8  4 Ge 2.41-2.59

***

# 8
Entry from Alexandria via LeMat-Bulk: crystalline La2InIrW at its relaxed geometry (PBE).

Values from the calculation:
ΔH_f (0 K): 0.25 eV/atom
final energy: -6.64 eV per atom
crystal system: tetragonal
N(E_F): 1.404 states/eV/atom
V: 153.4 Å³/f.u.

abc: 5.6649 5.6649 4.7787
angles: 90.00 90.00 90.00
With the nearest neighbours (Å) after each atom.
Space group P4/mmm (No. 123)
Asymmetric unit:
1 La 0.0000 0.5000 0.0000 x2  2 Ir 2.83
2 In 0.0000 0.0000 0.5000 x1  8 La 3.71, 4 W 4.01
3 Ir 0.5000 0.5000 0.0000 x1  2 W 2.39
4 W 0.5000 0.5000 0.5000 x1  2 Ir 2.39

***

Q: Which of these has the lowest N(E_F)?
A: Li2HgB